[1]
A geometry-optimized LaGd2TlZn3In2 structure. Source: the Open Quantum Materials Database, functional PBE.

SG: No. 38

a b c (Å): 4.6392 7.4436 7.4436
angles (deg): 120.74 90.00 90.00
Element x y z (fractional)
1 Gd 0.0000 0.0019 0.5707
2 In 0.5000 0.3301 0.6732
3 In 0.5000 0.6732 0.3301
4 Zn 0.5000 0.0013 0.2497
5 Tl 0.0000 0.9911 0.9911
6 La 0.0000 0.4324 0.4324
7 Zn 0.5000 0.2497 0.0013
8 Gd 0.0000 0.5707 0.0019
9 Zn 0.5000 0.7495 0.7495

---

[2]
A geometry-optimized CoRe14 structure. Source: the Open Quantum Materials Database, functional PBE.

SG: No. 136
Energy of formation from the pure elements (eV per atom): 0.056

a b c (Å): 9.4514 9.4514 4.9453
angles (deg): 90.00 90.00 90.00
Site moments in Bohr magnetons follow the coordinates.
Element x y z (fractional)
1 Re 0.4073 0.4073 0.0000  0.00
2 Re 0.3207 0.6793 0.7493  0.00
3 Re 0.2571 0.9353 0.0000  0.00
4 Co 0.5000 0.5000 0.5000  0.13
5 Re 0.3647 0.9623 0.5000  0.00
6 Re 0.5927 0.5927 0.0000  0.00
7 Re 0.2429 0.4353 0.5000  0.00
8 Re 0.5377 0.8647 0.0000  0.00
9 Re 0.3207 0.6793 0.2507  0.00
10 Re 0.6353 0.0377 0.5000  0.00
11 Re 0.1793 0.1793 0.2493  0.00
12 Re 0.9073 0.0927 0.5000  0.00
13 Re 0.8207 0.8207 0.2493  0.00
14 Re 0.8207 0.8207 0.7507  0.00
15 Re 0.1793 0.1793 0.7507  0.00
16 Re 0.0647 0.7429 0.0000  0.00
17 Re 0.0927 0.9073 0.5000  0.00
18 Co 0.0000 0.0000 0.0000  0.12
19 Re 0.6793 0.3207 0.7493  0.00
20 Re 0.4353 0.2429 0.5000  0.00
21 Re 0.7429 0.0647 0.0000  0.00
22 Re 0.9353 0.2571 0.0000  0.00
23 Re 0.5647 0.7571 0.5000  0.00
24 Re 0.8647 0.5377 0.0000  0.01
25 Re 0.9623 0.3647 0.5000  0.00
26 Re 0.4623 0.1353 0.0000  0.00
27 Re 0.7571 0.5647 0.5000  0.00
28 Re 0.6793 0.3207 0.2507  0.00
29 Re 0.0377 0.6353 0.5000  0.00
30 Re 0.1353 0.4623 0.0000  0.01

---

[3]
A geometry-optimized ThAlB4 structure. Source: the Open Quantum Materials Database, functional PBE.

SG: No. 71
Energy above the most stable polymorph in this dataset (meV/atom): 106

a b c (Å): 5.2222 5.2222 5.2222
angles (deg): 143.89 118.99 72.99
Element x y z (fractional)
1 Th 0.5000 0.5000 0.0000
2 Al 0.0000 0.0000 0.0000
3 B 0.5672 0.2415 0.3257
4 B 0.4328 0.7585 0.6743
5 B 0.9158 0.2415 0.6743
6 B 0.0842 0.7585 0.3257

---

[4]
A geometry-optimized HgOsSeO structure. Source: the Open Quantum Materials Database, functional PBE.

SG: No. 14
Energy above the most stable polymorph in this dataset (meV/atom): 182

a b c (Å): 7.0782 6.9648 6.0374
angles (deg): 90.00 94.84 90.00
Element x y z (fractional)
1 Se 0.6962 0.8926 0.0657
2 Hg 0.9315 0.1934 0.4053
3 O 0.5826 0.3903 0.1199
4 Os 0.5233 0.1415 0.2760
5 Se 0.3038 0.1074 0.9343
6 Se 0.6962 0.6074 0.5657
7 Se 0.3038 0.3926 0.4343
8 O 0.4174 0.8903 0.3801
9 Os 0.5233 0.3585 0.7760
10 Os 0.4767 0.6415 0.2240
11 Hg 0.9315 0.3066 0.9053
12 Hg 0.0685 0.8066 0.5947
13 O 0.4174 0.6097 0.8801
14 Os 0.4767 0.8585 0.7240
15 O 0.5826 0.1097 0.6199
16 Hg 0.0685 0.6934 0.0947

---

[5]
A geometry-optimized LaSm2Ni2Pt7 structure. Source: the Open Quantum Materials Database, functional PBE.

SG: No. 166
Energy of formation from the pure elements (eV per atom): -0.879

a b c (Å): 9.1752 9.1752 9.1752
angles (deg): 34.54 34.54 34.54
Site moments in Bohr magnetons follow the coordinates.
Element x y z (fractional)
1 La 0.0000 0.0000 0.0000  -0.01
2 Pt 0.0771 0.5821 0.5821  0.04
3 Ni 0.6668 0.6668 0.6668  0.24
4 Pt 0.4179 0.9229 0.4179  0.06
5 Pt 0.5000 0.5000 0.5000  0.03
6 Pt 0.4179 0.4179 0.9229  0.05
7 Pt 0.9229 0.4179 0.4179  0.04
8 Ni 0.3332 0.3332 0.3332  0.24
9 Pt 0.5821 0.0771 0.5821  0.06
10 Sm 0.1396 0.1396 0.1396  -0.01
11 Sm 0.8604 0.8604 0.8604  -0.01
12 Pt 0.5821 0.5821 0.0771  0.05

---

[6]
A geometry-optimized DyTmCS structure. Source: the Open Quantum Materials Database, functional PBE.

SG: No. 186

a b c (Å): 3.6747 3.6747 12.7908
angles (deg): 90.00 90.00 120.00
Element x y z (fractional)
1 C 0.0000 0.0000 0.4987
2 S 0.6667 0.3333 0.7521
3 Tm 0.6667 0.3333 0.3958
4 C 0.0000 0.0000 0.9987
5 Dy 0.6667 0.3333 0.1035
6 Dy 0.3333 0.6667 0.6035
7 Tm 0.3333 0.6667 0.8958
8 S 0.3333 0.6667 0.2521

---

[7]
A geometry-optimized HoBeZn structure. Source: the Open Quantum Materials Database, functional PBE.

SG: No. 216
Energy above the most stable polymorph in this dataset (meV/atom): 0

a b c (Å): 4.3973 4.3973 4.3973
angles (deg): 60.00 60.00 60.00
Element x y z (fractional)
1 Ho 0.7500 0.7500 0.7500
2 Zn 0.0000 0.0000 0.0000
3 Be 0.2500 0.2500 0.2500

---

[8]
A geometry-optimized PmMgAg2 structure. Source: the Open Quantum Materials Database, functional PBE.

SG: No. 71

a b c (Å): 4.9611 7.1975 4.9957
angles (deg): 90.00 90.00 90.00
Element x y z (fractional)
1 Ag 0.0000 0.7478 0.7503
2 Ag 0.5000 0.7522 0.2497
3 Pm 0.5000 0.0000 0.7499
4 Mg 0.5000 0.5000 0.7495
5 Ag 0.5000 0.2478 0.2497
6 Pm 0.0000 0.5000 0.2501
7 Ag 0.0000 0.2522 0.7503
8 Mg 0.0000 0.0000 0.2505

---

Number 1: theoretical density 8.1 Mg/m³, DFT total energy -29.06 eV/cell. Number 2: theoretical density 20.0 Mg/m³, DFT total energy -360.38 eV/cell. Number 3: theoretical density 7.0 Mg/m³, DFT total energy -38.58 eV/cell. Number 4: theoretical density 10.9 Mg/m³, DFT total energy -81.20 eV/cell. Number 5: theoretical density 14.4 Mg/m³, DFT total energy -78.41 eV/cell. Number 6: theoretical density 8.3 Mg/m³, DFT total energy -55.10 eV/cell. Number 7: theoretical density 6.6 Mg/m³, DFT total energy -8.98 eV/cell. Number 8: theoretical density 7.2 Mg/m³, DFT total energy -26.27 eV/cell.